# BaHgB2

A geometry-optimized BaHgB2 structure (PBE, Alexandria via LeMat-Bulk).

Cell lengths 8.4441, 8.4441, 8.4441 Å; angles 147.48, 147.48, 46.65 degrees
Last column: nearest neighbours and their distance in Å.
Fractional positions:
Ba 0.3750 0.6250 0.7500  8 B 3.28, 4 Hg 3.34
Ba 0.6250 0.3750 0.2500  8 B 3.28, 4 Hg 3.34
Hg 0.1250 0.8750 0.2500  4 B 2.27
Hg 0.8750 0.1250 0.7500  4 B 2.27
B 0.0000 0.0000 0.0000  2 Hg 2.27, 2 B 2.36
B 0.0000 0.0000 0.5000  2 Hg 2.27, 2 B 2.36
B 0.0000 0.5000 0.0000  2 Hg 2.27, 2 B 2.36
B 0.5000 0.0000 0.5000  2 Hg 2.27, 2 B 2.36

Results
Energy of formation from the pure elements (eV/atom): 0.835

---

# BaHgB3

A geometry-optimized BaHgB3 structure (PBE, Alexandria via LeMat-Bulk).

Cell lengths 5.2503, 5.2503, 5.2503 Å; angles 90.00, 90.00, 90.00 degrees
Last column: nearest neighbours and their distance in Å.
Fractional positions:
Ba 0.0000 0.0000 0.0000  6 B 2.63
Hg 0.5000 0.5000 0.5000  12 B 3.71
B 0.0000 0.0000 0.5000  2 Ba 2.63
B 0.0000 0.5000 0.0000  2 Ba 2.63
B 0.5000 0.0000 0.0000  2 Ba 2.63

Results
Energy of formation from the pure elements (eV/atom): 2.750
Relative energy among the computed polymorphs (eV per atom): 1.050

---

# BaHgB3

A geometry-optimized BaHgB3 structure (PBE, Alexandria via LeMat-Bulk).

Cell lengths 4.6312, 4.6312, 4.6312 Å; angles 90.00, 90.00, 90.00 degrees
Last column: nearest neighbours and their distance in Å.
Fractional positions:
Ba 0.0000 0.0000 0.0000  12 B 3.27
Hg 0.5000 0.5000 0.5000  6 B 2.32
B 0.0000 0.5000 0.5000  2 Hg 2.32
B 0.5000 0.0000 0.5000  2 Hg 2.32
B 0.5000 0.5000 0.0000  2 Hg 2.32

Results
Energy of formation from the pure elements (eV/atom): 1.700
Relative energy among the computed polymorphs (eV per atom): 0.000

---

# BaHg2B

A geometry-optimized BaHg2B structure (PBE, Alexandria via LeMat-Bulk).

Cell lengths 7.8301, 7.8301, 7.8301 Å; angles 134.60, 134.60, 66.15 degrees
Last column: nearest neighbours and their distance in Å.
Fractional positions:
Ba 0.3750 0.6250 0.7500  8 Hg 3.76
Ba 0.6250 0.3750 0.2500  8 Hg 3.76
Hg 0.0000 0.0000 0.0000  2 B 2.23
Hg 0.0000 0.0000 0.5000  2 B 2.23
Hg 0.0000 0.5000 0.0000  2 B 2.23
Hg 0.5000 0.0000 0.5000  2 B 2.23
B 0.1250 0.8750 0.2500  4 Hg 2.23
B 0.8750 0.1250 0.7500  4 Hg 2.23

Results
Energy of formation from the pure elements (eV/atom): 0.260

---

# BaHgB2I

A geometry-optimized BaHgB2I structure (PBE, Alexandria via LeMat-Bulk).

Cell lengths 4.8502, 4.8502, 6.4901 Å; angles 90.00, 90.00, 90.00 degrees
Last column: nearest neighbours and their distance in Å.
Fractional positions:
Ba 0.0000 0.0000 0.0000  2 I 3.25, 4 Hg 3.43
Hg 0.5000 0.5000 0.0000  4 Ba 3.43
B 0.0000 0.5000 0.5000  2 I 2.43
B 0.5000 0.0000 0.5000  2 I 2.43
I 0.0000 0.0000 0.5000  4 B 2.43

Results
Formation energy without anion corrections (meV/atom): 1470

---

# Ba2HgBIr

A geometry-optimized Ba2HgBIr structure (PBE, Alexandria via LeMat-Bulk).

Cell lengths 6.1520, 6.1520, 4.1310 Å; angles 90.00, 90.00, 90.00 degrees
Last column: nearest neighbours and their distance in Å.
Fractional positions:
Ba 0.0000 0.5000 0.0000  2 Ir 3.08
Ba 0.5000 0.0000 0.0000  2 Ir 3.08
Hg 0.0000 0.0000 0.5000  8 Ba 3.71, 2 Hg 4.13
B 0.5000 0.5000 0.5000  2 Ir 2.07
Ir 0.5000 0.5000 0.0000  2 B 2.07

Results
Energy of formation from the pure elements (eV/atom): -0.100

---

# Ba2HgB2O6

A geometry-optimized Ba2HgB2O6 structure (PBE, Alexandria via LeMat-Bulk).

Cell lengths 5.8657, 5.8657, 6.7163 Å; angles 113.92, 113.92, 53.95 degrees
Last column: nearest neighbours and their distance in Å.
Fractional positions:
Ba 0.2007 0.2007 0.1982  9 O 2.75-3.04
Ba 0.7993 0.7993 0.8018  9 O 2.75-3.04
Hg 0.0000 0.0000 0.5000  4 O 2.31
B 0.4707 0.4707 0.7444  3 O 1.36-1.41
B 0.5293 0.5293 0.2556  3 O 1.36-1.41
O 0.2237 0.6734 0.2069  1 B 1.41
O 0.3247 0.3247 0.6582  1 B 1.36
O 0.3266 0.7763 0.7931  1 B 1.41
O 0.6734 0.2237 0.2069  1 B 1.41
O 0.6753 0.6753 0.3418  1 B 1.36
O 0.7763 0.3266 0.7931  1 B 1.41

Results
Formation energy without anion corrections (meV/atom): -2273

---

# Ba2HgBP

A geometry-optimized Ba2HgBP structure (PBE, Alexandria via LeMat-Bulk).

Cell lengths 6.2646, 6.2646, 3.8572 Å; angles 90.00, 90.00, 90.00 degrees
Last column: nearest neighbours and their distance in Å.
Fractional positions:
Ba 0.0000 0.5000 0.0000  2 P 3.13
Ba 0.5000 0.0000 0.0000  2 P 3.13
Hg 0.0000 0.0000 0.5000  8 Ba 3.68, 2 Hg 3.86
B 0.5000 0.5000 0.5000  2 P 1.93
P 0.5000 0.5000 0.0000  2 B 1.93

Results
Energy of formation from the pure elements (eV/atom): -0.069